The following is a PBE calculation of a relaxed structure of Sr2Zr2C, from Alexandria via LeMat-Bulk.

Cell lengths 6.8582, 6.8582, 5.9934 Å; angles 55.10, 55.10, 90.00 degrees
Last column: nearest neighbours and their distance in Å.
Sites, in units of the cell vectors:
Zr  0.2894  0.2894  0.4212  1 C 2.04
Zr  0.7106  0.7106  0.5788  1 C 2.04
C  0.0000  0.0000  0.0000  2 Zr 2.04
Sr  0.2500  0.7500  0.5000  4 Zr 3.44, 2 Sr 3.52
Sr  0.7500  0.2500  0.5000  4 Zr 3.44, 2 Sr 3.52

Total magnetic moment ... 2.193 μB/f.u.
N(E_F) ... 6.349 states/eV/cell
Crystal system ... tetragonal
SG ... I4/mmm, No. 139
DFT formation energy ... 1.117 eV/atom
ΔE to the lowest computed polymorph ... 549 meV per atom